(1)
DFT (GGA-PBE) results for an optimized crystal structure of CsAgP2S.

Values from the calculation:
- Formation energy (no corrections): 273 kJ/mol of formula units
- Magnetization: 1.30 μB/cell

a = 4.986 Å, b = 4.986 Å, c = 5.331 Å
α = 90.00°, β = 90.00°, γ = 90.00°
Space group P4/mmm (No. 123)
Inequivalent atoms, fractional coordinates:
Cs 0.000 0.000 0.000 [1 per cell]
Ag 0.500 0.500 0.500 [1 per cell]
P 0.000 0.500 0.500 [2 per cell]
S 0.500 0.500 0.000 [1 per cell]

(2)
DFT (GGA-PBE) results for an optimized crystal structure of Cs2AgP2S6.

Values from the calculation:
- Formation energy (no corrections): -562 kJ/mol of formula units
- Magnetization: 0.00 μB/cell

a = 7.1430 Å, b = 7.1430 Å, c = 21.1777 Å
α = 90.00°, β = 90.00°, γ = 120.00°
Space group R-3m (No. 166, hexagonal axes)
Inequivalent atoms, fractional coordinates:
Cs 0.0000 0.0000 0.2358 [6 per cell]
Ag 0.0000 0.0000 0.0000 [3 per cell]
P 0.0000 0.0000 0.4290 [6 per cell]
S 0.0119 0.5059 0.2497 [18 per cell]

(3)
DFT (GGA-PBE) results for an optimized crystal structure of CsAgP2S8.

Values from the calculation:
- Formation energy (no corrections): -144 kJ/mol of formula units
- Magnetization: 0.00 μB/cell

a = 5.6119 Å, b = 5.6119 Å, c = 35.8692 Å
α = 90.00°, β = 90.00°, γ = 120.00°
Space group R-3 (No. 148, hexagonal axes)
Inequivalent atoms, fractional coordinates:
Cs 0.0000 0.0000 0.0000 [3 per cell]
Ag 0.0000 0.0000 0.5000 [3 per cell]
P 0.0000 0.0000 0.2371 [6 per cell]
S 0.0000 0.0000 0.2923 [6 per cell]
S 0.0117 0.3092 0.8803 [18 per cell]

(4)
DFT (GGA-PBE) results for an optimized crystal structure of CsAg2PSe4.

Values from the calculation:
- Formation energy (no corrections): -300 kJ/mol of formula units
- Magnetization: 0.00 μB/cell

a = 6.723 Å, b = 8.236 Å, c = 9.158 Å
α = 90.00°, β = 90.00°, γ = 90.00°
Space group I222 (No. 23)
Inequivalent atoms, fractional coordinates:
Cs 0.000 0.000 0.000 [2 per cell]
Ag 0.000 0.500 0.164 [4 per cell]
P 0.000 0.000 0.500 [2 per cell]
Se 0.184 0.166 0.359 [8 per cell]

(5)
DFT (GGA-PBE) results for an optimized crystal structure of Cs2AgP2Se6.

Values from the calculation:
- Formation energy (no corrections): -481 kJ/mol of formula units
- Magnetization: 0.00 μB/cell

a = 14.215 Å, b = 7.105 Å, c = 7.267 Å
α = 90.00°, β = 100.56°, γ = 90.00°
Space group C2/m (No. 12)
Inequivalent atoms, fractional coordinates:
Cs 0.203 0.000 0.205 [4 per cell]
Ag 0.000 0.000 0.500 [2 per cell]
P 0.014 0.500 0.166 [4 per cell]
Se 0.065 0.241 0.777 [8 per cell]
Se 0.167 0.500 0.267 [4 per cell]

(6)
DFT (GGA-PBE) results for an optimized crystal structure of Cs2AgPSe4.

Values from the calculation:
- Formation energy (no corrections): -489 kJ/mol of formula units
- Magnetization: 0.00 μB/cell

a = 6.680 Å, b = 13.879 Å, c = 25.432 Å
α = 90.00°, β = 90.00°, γ = 90.00°
Space group Fddd (No. 70, origin choice 2)
Inequivalent atoms, fractional coordinates:
Cs 0.125 0.125 0.305 [16 per cell]
Ag 0.125 0.125 0.125 [8 per cell]
P 0.125 0.125 0.625 [8 per cell]
Se 0.071 0.283 0.824 [32 per cell]

(7)
DFT (GGA-PBE) results for an optimized crystal structure of CsAgPSe3.

Values from the calculation:
- Formation energy (no corrections): -304 kJ/mol of formula units
- Magnetization: 0.00 μB/cell

a = 6.999 Å, b = 12.679 Å, c = 10.628 Å
α = 90.00°, β = 125.04°, γ = 90.00°
Space group P2_1/c (No. 14)
Inequivalent atoms, fractional coordinates:
Cs 0.220 0.173 0.490 [4 per cell]
Ag 0.191 0.556 0.639 [4 per cell]
P 0.347 0.542 0.389 [4 per cell]
Se 0.064 0.078 0.758 [4 per cell]
Se 0.253 0.682 0.466 [4 per cell]
Se 0.478 0.590 0.252 [4 per cell]

(8)
DFT (GGA-PBE) results for an optimized crystal structure of CsTiAgP2.

Values from the calculation:
- Magnetization: 0.00 μB/cell
- Energy of formation: 2.210 eV/atom

a = 5.423 Å, b = 5.423 Å, c = 5.106 Å
α = 90.00°, β = 90.00°, γ = 90.00°
Space group P4/mmm (No. 123)
Inequivalent atoms, fractional coordinates:
Cs 0.000 0.000 0.000 [1 per cell]
Ti 0.000 0.000 0.500 [1 per cell]
Ag 0.500 0.500 0.500 [1 per cell]
P 0.000 0.500 0.000 [2 per cell]

(9)
DFT (GGA-PBE) results for an optimized crystal structure of CsPa2Ag2S6.

Values from the calculation:
- Formation energy (no corrections): -1177 kJ/mol of formula units
- Magnetization: 1.11 μB/cell

a = 7.369 Å, b = 7.473 Å, c = 8.002 Å
α = 63.57°, β = 64.12°, γ = 61.02°
Space group P-1 (No. 2)
Inequivalent atoms, fractional coordinates:
Cs 0.000 0.000 0.000 [1 per cell]
Pa 0.331 0.336 0.000 [2 per cell]
Ag 0.427 0.703 0.554 [2 per cell]
S 0.074 0.652 0.777 [2 per cell]
S 0.337 0.523 0.220 [2 per cell]
S 0.492 0.069 0.780 [2 per cell]

(10)
DFT (GGA-PBE) results for an optimized crystal structure of Cs3PaAg2S6.

Values from the calculation:
- Formation energy (no corrections): -1000 kJ/mol of formula units
- Magnetization: 0.01 μB/cell

a = 6.660 Å, b = 15.135 Å, c = 8.169 Å
α = 90.00°, β = 107.60°, γ = 90.00°
Space group C2/m (No. 12)
Inequivalent atoms, fractional coordinates:
Cs 0.000 0.000 0.000 [2 per cell]
Cs 0.000 0.322 0.000 [4 per cell]
Pa 0.000 0.500 0.500 [2 per cell]
Ag 0.000 0.100 0.500 [4 per cell]
S 0.205 0.500 0.269 [4 per cell]
S 0.246 0.129 0.331 [8 per cell]

(11)
DFT (GGA-PBE) results for an optimized crystal structure of Cs3PaAg2Se6.

Values from the calculation:
- Formation energy (no corrections): -967 kJ/mol of formula units
- Magnetization: 0.00 μB/cell

a = 6.843 Å, b = 15.963 Å, c = 8.485 Å
α = 90.00°, β = 109.30°, γ = 90.00°
Space group C2/m (No. 12)
Inequivalent atoms, fractional coordinates:
Cs 0.000 0.000 0.000 [2 per cell]
Cs 0.000 0.321 0.000 [4 per cell]
Pa 0.000 0.500 0.500 [2 per cell]
Ag 0.000 0.095 0.500 [4 per cell]
Se 0.197 0.500 0.260 [4 per cell]
Se 0.245 0.132 0.330 [8 per cell]

no.,calculated density (g/cm³)
1,4.194
2,3.343
3,2.848
4,4.555
5,4.186
6,4.059
7,4.375
8,3.877
9,5.030
10,4.392
11,5.009